Entry from Alexandria via LeMat-Bulk: an optimized crystal structure of Rb3Na2VF9 (PBE with a Hubbard U).

Values from the calculation:
**Calculated volume**: 255.9 Å³/cell
**Space-group type**: P-3m1
**Total energy**: -4.776 eV/atom

abc: 6.224 6.224 7.629
angles: 90.00 90.00 120.00
Fractional coordinates of all 15 atoms:
Rb 0.000 0.000 0.000
Rb 0.333 0.667 0.725
Rb 0.667 0.333 0.275
Na 0.333 0.667 0.166
Na 0.667 0.333 0.834
V 0.000 0.000 0.500
F 0.000 0.500 0.000
F 0.145 0.290 0.361
F 0.145 0.855 0.361
F 0.290 0.145 0.639
F 0.500 0.000 0.000
F 0.500 0.500 0.000
F 0.710 0.855 0.361
F 0.855 0.145 0.639
F 0.855 0.710 0.639